(1)
Computed, not measured: a relaxed structure of In3GeI at the PBE level of DFT.

Properties
Theoretical density   3.67 g/cm3
M_tot   0.390 μB/atom
Final energy   -2.097 eV/atom

Cell lengths 6.2656, 6.2656, 6.2656 Å; angles 90.00, 90.00, 90.00 degrees
With the nearest neighbours (Å) after each atom.
Space group Pm-3m (No. 221)
Inequivalent atoms, fractional coordinates:
In: 0.0000 0.0000 0.5000 (multiplicity 3)  2 I 3.13
Ge: 0.5000 0.5000 0.5000 (multiplicity 1)  12 In 4.43
I: 0.0000 0.0000 0.0000 (multiplicity 1)  6 In 3.13

(2)
Computed, not measured: a relaxed structure of In3GeI at the PBE level of DFT.

Properties
Theoretical density   5.03 g/cm3
M_tot   0.000 μB/atom
Final energy   -2.788 eV/atom

Cell lengths 5.6419, 5.6419, 5.6419 Å; angles 90.00, 90.00, 90.00 degrees
With the nearest neighbours (Å) after each atom.
Space group Pm-3m (No. 221)
Inequivalent atoms, fractional coordinates:
In: 0.0000 0.0000 0.5000 (multiplicity 3)  2 Ge 2.82
Ge: 0.0000 0.0000 0.0000 (multiplicity 1)  6 In 2.82
I: 0.5000 0.5000 0.5000 (multiplicity 1)  12 In 3.99